# PBE with a Hubbard U PmNpCrO6, relaxed
# Calculated total energy = -0.6341 Ry/atom
# Total magnetic moment = 4.0 μB per formula unit
data_PmNpCrO6
_cell_length_a 5.6695
_cell_length_b 5.6695
_cell_length_c 8.6346
_cell_angle_alpha 90.00
_cell_angle_beta 90.00
_cell_angle_gamma 120.00
_symmetry_space_group_name_H-M 'P -3 1 c'
_symmetry_Int_Tables_number 163
_symmetry_space_group_name_Hall '-P 3 2c'
loop_
_atom_site_label
_atom_site_type_symbol
_atom_site_fract_x
_atom_site_fract_y
_atom_site_fract_z
Pm1 Pm 0.3333 0.6667 0.2500
Np1 Np 0.3333 0.6667 0.7500
Cr1 Cr 0.0000 0.0000 0.0000
O1 O 0.0388 0.3395 0.6222